(1)
First-principles (PBE-GGA) data for a geometry-optimized Pm2AlCu12Ni3 structure, as listed in the Alexandria database.

Computed properties:
- formation enthalpy at 0 K (kcal/mol of atoms) = 0.397
- magnetization (μB/f.u.) = 0.000
- calculated density (Mg/m³) = 8.1
- space-group type = R-3m (166)

a = 6.4110 Å, b = 6.4110 Å, c = 6.4110 Å
α = 82.83°, β = 82.83°, γ = 82.83°
Fractional coordinates of all 18 atoms:
Pm1 0.2451 0.2451 0.2451
Pm2 0.7549 0.7549 0.7549
Al1 0.5000 0.5000 0.5000
Cu1 0.0745 0.0745 0.6549
Cu2 0.0745 0.6549 0.0745
Cu3 0.2276 0.6991 0.6991
Cu4 0.3009 0.3009 0.7724
Cu5 0.3009 0.7724 0.3009
Cu6 0.3451 0.9255 0.9255
Cu7 0.6549 0.0745 0.0745
Cu8 0.6991 0.2276 0.6991
Cu9 0.6991 0.6991 0.2276
Cu10 0.7724 0.3009 0.3009
Cu11 0.9255 0.3451 0.9255
Cu12 0.9255 0.9255 0.3451
Ni1 0.0000 0.5000 0.5000
Ni2 0.5000 0.0000 0.5000
Ni3 0.5000 0.5000 0.0000



(2)
First-principles (PBE-GGA) data for a geometry-optimized KNa2Au structure, as listed in the Alexandria database.

Computed properties:
- formation enthalpy at 0 K (kcal/mol of atoms) = -1.396
- magnetization (μB/f.u.) = 0.000
- calculated density (Mg/m³) = 3.5
- space-group type = I-42d (122)

a = 12.0090 Å, b = 12.0090 Å, c = 12.0090 Å
α = 156.73°, β = 156.73°, γ = 33.15°
Fractional coordinates of all 8 atoms:
K1 0.0000 0.0000 0.0000
K2 0.7500 0.2500 0.5000
Na1 0.1705 0.6250 0.0455
Na2 0.3750 0.4205 0.5455
Na3 0.5795 0.1250 0.9545
Na4 0.8750 0.8295 0.4545
Au1 0.2500 0.7500 0.5000
Au2 0.5000 0.5000 0.0000



(3)
First-principles (PBE-GGA) data for a geometry-optimized Pm2Ni5Ir5 structure, as listed in the Alexandria database.

Computed properties:
- formation enthalpy at 0 K (kcal/mol of atoms) = -9.387
- magnetization (μB/f.u.) = 0.000
- calculated density (Mg/m³) = 13.5
- space-group type = Pmmm (47)

a = 4.0624 Å, b = 5.2499 Å, c = 8.9172 Å
α = 90.00°, β = 90.00°, γ = 90.00°
Fractional coordinates of all 12 atoms:
Pm1 0.0000 0.0000 0.0000
Pm2 0.0000 0.5000 0.5000
Ni1 0.0000 0.0000 0.3315
Ni2 0.0000 0.0000 0.6685
Ni3 0.0000 0.5000 0.1565
Ni4 0.0000 0.5000 0.8435
Ni5 0.5000 0.5000 0.0000
Ir1 0.5000 0.0000 0.5000
Ir2 0.5000 0.2533 0.2462
Ir3 0.5000 0.2533 0.7538
Ir4 0.5000 0.7467 0.2462
Ir5 0.5000 0.7467 0.7538



(4)
First-principles (PBE-GGA) data for a geometry-optimized LiPm2Co structure, as listed in the Alexandria database.

Computed properties:
- formation enthalpy at 0 K (kcal/mol of atoms) = 0.508
- magnetization (μB/f.u.) = 0.000
- calculated density (Mg/m³) = 6.7
- space-group type = Fm-3m (225)

a = 4.9964 Å, b = 4.9964 Å, c = 4.9964 Å
α = 60.00°, β = 60.00°, γ = 60.00°
Fractional coordinates of all 4 atoms:
Li1 0.0000 0.0000 0.0000
Pm1 0.2500 0.2500 0.2500
Pm2 0.7500 0.7500 0.7500
Co1 0.5000 0.5000 0.5000



(5)
First-principles (PBE-GGA) data for a geometry-optimized CuTcAs2 structure, as listed in the Alexandria database.

Computed properties:
- formation enthalpy at 0 K (kcal/mol of atoms) = 0.894
- magnetization (μB/f.u.) = 0.000
- calculated density (Mg/m³) = 8.3
- space-group type = Pm (6)

a = 3.1431 Å, b = 4.0246 Å, c = 5.1442 Å
α = 90.00°, β = 107.78°, γ = 90.00°
Fractional coordinates of all 4 atoms:
Cu1 0.0000 0.0000 0.0000
Tc1 0.1847 0.5000 0.3646
As1 0.4724 0.5000 0.9414
As2 0.7557 0.0000 0.5066



(6)
First-principles (PBE-GGA) data for a geometry-optimized RbPH structure, as listed in the Alexandria database.

Computed properties:
- E (eV per atom) = -3.530
- magnetization (μB/f.u.) = 0.000
- calculated density (Mg/m³) = 2.6
- space-group type = C2/m (12)

a = 6.3887 Å, b = 6.3887 Å, c = 4.7800 Å
α = 91.80°, β = 91.80°, γ = 49.24°
Fractional coordinates of all 6 atoms:
Rb1 0.1293 0.1293 0.2124
Rb2 0.8707 0.8707 0.7876
P1 0.4254 0.4254 0.3401
P2 0.5746 0.5746 0.6599
H1 0.3408 0.3408 0.5557
H2 0.6592 0.6592 0.4443



(7)
First-principles (PBE-GGA) data for a geometry-optimized SiTcOs2 structure, as listed in the Alexandria database.

Computed properties:
- ΔE_f (raw) (eV/atom) = 0.04
- magnetization (μB/f.u.) = 0.000
- calculated density (Mg/m³) = 14.9
- space-group type = Pmm2 (25)

a = 2.8082 Å, b = 3.8374 Å, c = 5.2373 Å
α = 90.00°, β = 90.00°, γ = 90.00°
Fractional coordinates of all 4 atoms:
Si1 0.0000 0.0000 0.0000
Tc1 0.5000 0.5000 0.2837
Os1 0.0000 0.0000 0.4916
Os2 0.5000 0.5000 0.8034



(8)
First-principles (PBE-GGA) data for a geometry-optimized MgCuSO structure, as listed in the Alexandria database.

Computed properties:
- ΔE_f (raw) (eV/atom) = -1.19
- magnetization (μB/f.u.) = 0.000
- calculated density (Mg/m³) = 3.5
- space-group type = P4/nmm (129)

a = 3.9525 Å, b = 3.9525 Å, c = 8.2887 Å
α = 90.00°, β = 90.00°, γ = 90.00°
Fractional coordinates of all 8 atoms:
Mg1 0.2500 0.2500 0.0291
Mg2 0.7500 0.7500 0.9709
Cu1 0.2500 0.7500 0.5000
Cu2 0.7500 0.2500 0.5000
S1 0.2500 0.2500 0.3555
S2 0.7500 0.7500 0.6445
O1 0.2500 0.7500 0.0000
O2 0.7500 0.2500 0.0000